Material: Mg2MnMo
Method: DFT, PBE
State: optimized geometry

CIF file:
```
data_Mg2MnMo
_chemical_formula_sum 'Mg2 Mn1 Mo1'
_cell_length_a 4.831
_cell_length_b 4.831
_cell_length_c 2.931
_cell_angle_alpha 90.00
_cell_angle_beta 90.00
_cell_angle_gamma 90.00
_space_group_name_H-M_alt 'P 4/m m m'
_space_group_IT_number 123
_space_group_name_Hall '-P 4 2'
loop_
_atom_site_label
_atom_site_fract_x
_atom_site_fract_y
_atom_site_fract_z
Mg1 0.000 0.500 0.000
Mn1 0.000 0.000 0.500
Mo1 0.500 0.500 0.500
```

Values from the calculation:
The calculation puts the volume at 17.10 A^3/atom. For the energy above the most stable polymorph in this dataset, the calculation gives 0.357 eV per atom. Its formation energy from the elements is 0.5192 eV per atom. As for the crystal system: tetragonal.

***

Material: Mg2MnMo
Method: DFT, PBE
State: optimized geometry

CIF file:
```
data_Mg2MnMo
_chemical_formula_sum 'Mg2 Mn1 Mo1'
_cell_length_a 3.080
_cell_length_b 3.080
_cell_length_c 7.112
_cell_angle_alpha 90.00
_cell_angle_beta 90.00
_cell_angle_gamma 90.00
_space_group_name_H-M_alt 'P 4 m m'
_space_group_IT_number 99
loop_
_space_group_symop_operation_xyz
'x,y,z'
'-y,x,z'
'-x,-y,z'
'y,-x,z'
'-x,y,z'
'y,x,z'
'x,-y,z'
'-y,-x,z'
loop_
_atom_site_label
_atom_site_fract_x
_atom_site_fract_y
_atom_site_fract_z
Mg1 0.000 0.000 0.000
Mg2 0.500 0.500 0.314
Mn1 0.000 0.000 0.565
Mo1 0.500 0.500 0.727
```

Values from the calculation:
The calculation puts the volume at 16.87 A^3/atom. For the energy above the most stable polymorph in this dataset, the calculation gives 0.000 eV per atom. Its formation energy from the elements is 0.1620 eV per atom. As for the crystal system: tetragonal.

***

Material: MgMn2Mo
Method: DFT, PBE
State: optimized geometry

CIF file:
```
data_MgMn2Mo
_chemical_formula_sum 'Mg2 Mn4 Mo2'
_cell_length_a 3.152
_cell_length_b 4.419
_cell_length_c 8.580
_cell_angle_alpha 90.00
_cell_angle_beta 90.00
_cell_angle_gamma 90.00
_space_group_name_H-M_alt 'C m m m'
_space_group_IT_number 65
_space_group_name_Hall '-C 2 2'
loop_
_atom_site_label
_atom_site_fract_x
_atom_site_fract_y
_atom_site_fract_z
Mg1 0.000 0.000 0.000
Mn1 0.000 0.500 0.267
Mo1 0.000 0.000 0.500
```

Values from the calculation:
The calculation puts the volume at 14.94 A^3/atom. Its formation energy from the elements is 0.2929 eV per atom. As for the crystal system: orthorhombic.